Record 1
DFT (PBE-GGA) results for a relaxed structure of Cr2InCo.

It has space group Immm (No. 71), with a = 3.091 Å, b = 4.040 Å, c = 8.635 Å, α = 90.00°, β = 90.00° and γ = 90.00°. The asymmetric unit holds Cr at (0.000, 0.000, 0.239), In at (0.000, 0.500, 0.000) and Co at (0.000, 0.500, 0.500).

The crystal system is orthorhombic.

Record 2
DFT (PBE-GGA) results for a relaxed structure of Cr2In2Co.

It has space group I4/mmm (No. 139), with a = 3.199 Å, b = 3.199 Å, c = 15.913 Å, α = 90.00°, β = 90.00° and γ = 90.00°. The asymmetric unit holds Cr at (0.000, 0.500, 0.250), In at (0.000, 0.000, 0.099) and Co at (0.000, 0.000, 0.500).

The crystal system is tetragonal. As for the energy relative to the lowest polymorph listed for this composition: 0 meV/atom.

Number 1: DFT formation energy 359 meV/atom. Number 2: DFT formation energy 557 meV/atom.